Record 1
The following is a PBE calculation of an optimized crystal structure of SrZn3Pt4O12, from OQMD.

Summary:
**M_tot**: 0.0 μB per formula unit

Structure (POSCAR):
```
SrZn3Pt4O12
1.0
-3.822 3.822 3.822
3.822 -3.822 3.822
3.822 3.822 -3.822
Zn O Pt Sr
3 12 4 1
Direct
0.500 0.000 0.500 Zn
0.500 0.500 0.000 Zn
0.000 0.500 0.500 Zn
0.691 0.869 0.178 O
0.178 0.309 0.487 O
0.178 0.691 0.869 O
0.691 0.513 0.822 O
0.822 0.691 0.513 O
0.309 0.131 0.822 O
0.869 0.178 0.691 O
0.487 0.178 0.309 O
0.513 0.822 0.691 O
0.822 0.309 0.131 O
0.309 0.487 0.178 O
0.131 0.822 0.309 O
0.500 0.500 0.500 Pt
0.000 0.500 0.000 Pt
0.000 0.000 0.500 Pt
0.500 0.000 0.000 Pt
0.000 0.000 0.000 Sr
```

=====

Record 2
The following is a PBE calculation of an optimized crystal structure of SrGdNO, from OQMD.

Summary:
**M_tot**: 0.0 μB per formula unit
**Excess energy over the best structure of this formula in the dataset**: 0.0800 eV per atom

Structure (POSCAR):
```
SrGdNO
1.0
-1.943 -3.366 0.000
0.000 0.000 5.883
-6.085 3.513 0.000
Sr Gd N O
2 2 2 2
Direct
0.000 0.979 0.662 Sr
0.000 0.479 0.338 Sr
0.500 0.993 0.160 Gd
0.500 0.493 0.840 Gd
0.000 0.410 0.691 N
0.000 0.910 0.309 N
0.500 0.372 0.143 O
0.500 0.872 0.857 O
```

=====

Record 3
The following is a PBE calculation of an optimized crystal structure of SmTaN2O, from OQMD.

Summary:
**M_tot**: 0.0 μB per formula unit

Structure (POSCAR):
```
SmTaN2O
1.0
5.686 0.000 0.000
0.000 3.947 0.000
0.000 0.000 5.817
N Ta O Sm
4 2 2 2
Direct
0.250 0.500 0.197 N
0.500 0.000 0.500 N
0.000 0.000 0.500 N
0.750 0.500 0.803 N
0.250 0.000 0.271 Ta
0.750 0.000 0.729 Ta
0.500 0.000 0.000 O
0.000 0.000 0.000 O
0.750 0.500 0.208 Sm
0.250 0.500 0.792 Sm
```

=====

Record 4
The following is a PBE calculation of an optimized crystal structure of Rb2FeCuC6N6, from OQMD.

Summary:
**M_tot**: 1.0 μB per formula unit

Structure (POSCAR):
```
Rb2FeCuC6N6
1.0
5.099 -5.099 0.000
-5.099 0.000 -5.099
5.099 5.099 0.000
C N Rb Fe Cu
6 6 2 1 1
Direct
0.818 0.000 0.182 C
0.818 0.000 0.818 C
0.182 0.000 0.182 C
0.182 0.000 0.818 C
0.818 0.635 0.818 C
0.182 0.365 0.182 C
0.298 0.000 0.702 N
0.298 0.000 0.298 N
0.298 0.596 0.298 N
0.702 0.000 0.702 N
0.702 0.404 0.702 N
0.702 0.000 0.298 N
0.250 0.500 0.750 Rb
0.750 0.500 0.250 Rb
0.000 0.000 0.000 Fe
0.500 0.000 0.500 Cu
```

=====

Record 5
The following is a PBE calculation of an optimized crystal structure of TmScGe4, from OQMD.

Summary:
**M_tot**: 0.0 μB per formula unit

Structure (POSCAR):
```
TmScGe4
1.0
3.866 0.000 0.000
0.000 1.978 7.712
0.000 -1.978 7.712
Tm Sc Ge
1 1 4
Direct
0.500 0.397 0.397 Tm
0.000 0.602 0.602 Sc
0.000 0.949 0.949 Ge
0.500 0.748 0.748 Ge
0.000 0.244 0.244 Ge
0.500 0.060 0.060 Ge
```

=====

Record 6
The following is a PBE calculation of an optimized crystal structure of CsCuPbSe3, from OQMD.

Structure (POSCAR):
```
CsCuPbSe3
1.0
7.744 -2.077 0.000
7.744 2.077 0.000
0.000 0.000 11.584
Pb Cu Se Cs
2 2 6 2
Direct
0.000 0.000 0.000 Pb
0.000 0.000 0.500 Pb
0.443 0.443 0.750 Cu
0.557 0.557 0.250 Cu
0.626 0.626 0.063 Se
0.374 0.374 0.937 Se
0.971 0.971 0.250 Se
0.029 0.029 0.750 Se
0.374 0.374 0.563 Se
0.626 0.626 0.437 Se
0.270 0.270 0.250 Cs
0.730 0.730 0.750 Cs
```

=====

Asked for uncorrected energy across the records above, the calculation gives -5.382, -6.906, -9.435, -7.419, -5.459, -3.598 eV/atom in order.
Asked for V across the records above, the calculation gives 223.28, 160.64, 130.55, 265.16, 117.97, 372.67 Å³ per cell in order.